## Pm8Ir3RhCl4 (GGA-PBE)

Data for crystalline Pm8Ir3RhCl4 at its relaxed geometry.

Summary:
Its total energy is -6.154 eV/atom. For the uncorrected formation energy, the calculation gives -19.13 eV per formula unit.

a = 14.1928 Å, b = 8.1996 Å, c = 8.8792 Å
α = 90.00°, β = 122.32°, γ = 90.00°
Space group C2/m (No. 12)
One atom of each set of equivalent atoms:
Pm (0.0156, 0.2492, 0.2969) [8 per cell]
Pm (0.2347, 0.0000, 0.7030) [4 per cell]
Pm (0.2352, 0.5000, 0.7031) [4 per cell]
Ir (0.0000, 0.0000, 0.5000) [2 per cell]
Ir (0.2500, 0.2500, 0.5000) [4 per cell]
Rh (0.0000, 0.5000, 0.5000) [2 per cell]
Cl (0.0000, 0.0000, 0.0000) [2 per cell]
Cl (0.0000, 0.5000, 0.0000) [2 per cell]
Cl (0.2500, 0.2500, 0.0000) [4 per cell]